VASP calculation (GGA-PBE) on an optimized crystal structure of EuTh2Mn.

Output
magnetic moment: 7.9 μB/f.u.
space-group type: No. 166

abc: 3.8704 3.8704 10.5633
angles: 79.44 79.44 60.00
Closest atoms and distances in Å follow each position.
Element x y z (fractional)
Eu: 0.0000 0.0000 0.0000  2 Th 3.68, 6 Eu 3.87
Mn: 0.5000 0.5000 0.5000  6 Th 2.68
Th: 0.1187 0.1187 0.6438  3 Mn 2.68
Th: 0.8813 0.8813 0.3562  3 Mn 2.68

---

VASP calculation (GGA-PBE) on an optimized crystal structure of EuTm3Mn.

Output
magnetic moment: 6.3 μB/f.u.
space-group type: No. 221

abc: 5.2936 5.2936 5.2936
angles: 90.00 90.00 90.00
Closest atoms and distances in Å follow each position.
Element x y z (fractional)
Eu: 0.5000 0.5000 0.5000  12 Tm 3.74
Tm: 0.0000 0.5000 0.0000  2 Mn 2.65
Tm: 0.0000 0.0000 0.5000  2 Mn 2.65
Tm: 0.5000 0.0000 0.0000  2 Mn 2.65
Mn: 0.0000 0.0000 0.0000  6 Tm 2.65

---

VASP calculation (GGA-PBE) on an optimized crystal structure of EuY3Mn.

Output
magnetic moment: 6.3 μB/f.u.
space-group type: No. 221

abc: 5.3991 5.3991 5.3991
angles: 90.00 90.00 90.00
Closest atoms and distances in Å follow each position.
Element x y z (fractional)
Eu: 0.5000 0.5000 0.5000  12 Y 3.82
Y: 0.0000 0.5000 0.0000  2 Mn 2.70
Y: 0.0000 0.0000 0.5000  2 Mn 2.70
Y: 0.5000 0.0000 0.0000  2 Mn 2.70
Mn: 0.0000 0.0000 0.0000  6 Y 2.70

---

VASP calculation (GGA-PBE) on an optimized crystal structure of Eu3Mo.

Output
magnetic moment: 19.2 μB/f.u.
space-group type: No. 139

abc: 5.7945 5.7945 5.7945
angles: 127.80 127.80 76.94
Closest atoms and distances in Å follow each position.
Element x y z (fractional)
Eu: 0.7500 0.2500 0.5000  8 Eu 3.41-3.60, 4 Mo 3.41
Eu: 0.2500 0.7500 0.5000  8 Eu 3.41-3.60, 4 Mo 3.41
Eu: 0.5000 0.5000 0.0000  8 Eu 3.41, 4 Mo 3.60
Mo: 0.0000 0.0000 0.0000  12 Eu 3.41-3.60

---

| no. | energy of formation (eV per atom) | uncorrected energy (eV per atom) |
| --- | --- | --- |
| 1 | 0.336 | -8.235 |
| 2 | 0.154 | -6.418 |
| 3 | 0.172 | -7.595 |
| 4 | 0.579 | -9.834 |